(1)
An optimized crystal structure of Y3NiC2, computed with GGA-PBE.

Unit cell a=3.575 b=3.575 c=19.751 alpha=90.00 beta=90.00 gamma=120.00
Each line ends with the local moment (μB).
Atoms (fractional coordinates):
Y 0.333 0.667 0.855  0.03
Y 0.667 0.333 0.355  0.03
Y 0.667 0.333 0.145  0.03
Y 0.000 0.000 0.000  0.01
Y 0.333 0.667 0.645  0.03
Y 0.000 0.000 0.500  0.01
C 0.333 0.667 0.078  0.09
C 0.667 0.333 0.578  0.09
C 0.333 0.667 0.422  0.09
C 0.667 0.333 0.922  0.09
Ni 0.000 0.000 0.750  0.33
Ni 0.000 0.000 0.250  0.33

Results
* SG: No. 194
* crystal system: hexagonal
* M_tot: 0.13 μB/atom

---

(2)
An optimized crystal structure of Y2NiC, computed with GGA-PBE.

Unit cell a=6.169 b=6.169 c=14.294 alpha=102.69 beta=102.69 gamma=60.00
Atoms (fractional coordinates):
C 0.179 0.660 0.000
C 0.660 0.179 0.500
C 0.500 0.000 0.000
C 0.000 0.500 0.500
C 0.821 0.340 0.000
C 0.340 0.821 0.500
Ni 0.902 0.583 0.750
Ni 0.921 0.079 0.750
Ni 0.098 0.417 0.250
Ni 0.583 0.902 0.250
Ni 0.417 0.098 0.750
Ni 0.079 0.921 0.250
Y 0.536 0.374 0.107
Y 0.300 0.137 0.405
Y 0.863 0.700 0.095
Y 0.137 0.300 0.905
Y 0.464 0.626 0.893
Y 0.031 0.201 0.595
Y 0.626 0.464 0.393
Y 0.201 0.031 0.095
Y 0.969 0.799 0.405
Y 0.374 0.536 0.607
Y 0.700 0.863 0.595
Y 0.799 0.969 0.905

Results
* SG: No. 15
* crystal system: monoclinic
* M_tot: 0.00 μB/atom

---

(3)
An optimized crystal structure of Y4ZnNiC2, computed with GGA-PBE.

Unit cell a=3.643 b=3.643 c=13.956 alpha=90.00 beta=90.00 gamma=120.00
Each line ends with the local moment (μB).
Atoms (fractional coordinates):
Zn 0.667 0.333 0.500  0.08
Y 0.667 0.333 0.140  0.04
Y 0.667 0.333 0.860  0.04
Y 0.000 0.000 0.333  0.13
Y 0.000 0.000 0.667  0.13
Ni 0.000 0.000 0.000  0.02
C 0.333 0.667 0.241  -0.01
C 0.333 0.667 0.759  -0.01

Results
* SG: No. 187
* crystal system: hexagonal
* M_tot: 0.11 μB/atom

---

(4)
An optimized crystal structure of Y4ZnNiC2, computed with GGA-PBE.

Unit cell a=3.638 b=3.638 c=13.986 alpha=90.00 beta=90.00 gamma=120.00
Each line ends with the local moment (μB).
Atoms (fractional coordinates):
Y 0.667 0.333 0.640  0.04
Y 0.333 0.667 0.167  0.13
Y 0.333 0.667 0.833  0.13
Y 0.667 0.333 0.360  0.04
Zn 0.667 0.333 0.000  0.08
C 0.000 0.000 0.740  -0.01
C 0.000 0.000 0.260  -0.01
Ni 0.333 0.667 0.500  0.02

Results
* SG: No. 187
* crystal system: hexagonal
* M_tot: 0.12 μB/atom

---

Number 1: electronic total energy -88.12 eV for the cell shown. Number 2: electronic total energy -170.78 eV for the cell shown. Number 3: electronic total energy -52.76 eV for the cell shown. Number 4: electronic total energy -52.76 eV for the cell shown.